DFT (PBE-GGA) results for a geometry-optimized LaCu2Ir2 structure.

Values from the calculation:
The value obtained for the formation energy is -33.8 meV/atom. The value obtained for the energy above the lowest structure with this stoichiometry is 141 meV/atom.

Cell: 7.441 7.441 2.990 Å, 90.00 90.00 90.00°
Sites, in units of the cell vectors:
La: 0.000 0.000 0.000
La: 0.500 0.500 0.000
Cu: 0.163 0.337 0.500
Cu: 0.337 0.837 0.500
Cu: 0.663 0.163 0.500
Cu: 0.837 0.663 0.500
Ir: 0.132 0.632 0.000
Ir: 0.368 0.132 0.000
Ir: 0.632 0.868 0.000
Ir: 0.868 0.368 0.000

DFT (PBE-GGA) results for a geometry-optimized Li3La2Cu12Ir structure.

Values from the calculation:
The value obtained for the formation energy is 52.5 meV/atom.

Cell: 13.053 13.053 13.053 Å, 22.62 22.62 22.62°
Sites, in units of the cell vectors:
Li: 0.000 0.500 0.500
Li: 0.500 0.000 0.500
Li: 0.500 0.500 0.000
La: 0.145 0.145 0.145
La: 0.855 0.855 0.855
Cu: 0.108 0.108 0.620
Cu: 0.108 0.620 0.108
Cu: 0.111 0.604 0.604
Cu: 0.380 0.892 0.892
Cu: 0.396 0.396 0.889
Cu: 0.396 0.889 0.396
Cu: 0.604 0.111 0.604
Cu: 0.604 0.604 0.111
Cu: 0.620 0.108 0.108
Cu: 0.889 0.396 0.396
Cu: 0.892 0.380 0.892
Cu: 0.892 0.892 0.380
Ir: 0.500 0.500 0.500

DFT (PBE-GGA) results for a geometry-optimized LaMn2CuIr structure.

Values from the calculation:
The value obtained for the formation energy is 1928.6 meV/atom.

Cell: 4.485 4.485 4.829 Å, 90.00 90.00 90.00°
Sites, in units of the cell vectors:
La: 0.000 0.000 0.000
Mn: 0.000 0.500 0.000
Mn: 0.500 0.000 0.000
Cu: 0.000 0.000 0.500
Ir: 0.500 0.500 0.500

DFT (PBE-GGA) results for a geometry-optimized La2CuIrN structure.

Values from the calculation:
The value obtained for the energy above the lowest structure with this stoichiometry is 46 meV/atom. The formation energy without anion corrections is -291 kJ/mol of formula units.

Cell: 5.253 5.253 3.837 Å, 90.00 90.00 90.00°
Sites, in units of the cell vectors:
La: 0.000 0.500 0.000
La: 0.500 0.000 0.000
Cu: 0.000 0.000 0.500
Ir: 0.500 0.500 0.500
N: 0.500 0.500 0.000

DFT (PBE-GGA) results for a geometry-optimized La2CuIrN structure.

Values from the calculation:
The value obtained for the energy above the lowest structure with this stoichiometry is 0 meV/atom. The formation energy without anion corrections is -313 kJ/mol of formula units.

Cell: 5.121 5.121 3.783 Å, 90.00 90.00 90.00°
Sites, in units of the cell vectors:
La: 0.000 0.500 0.000
La: 0.500 0.000 0.000
Cu: 0.000 0.000 0.500
Ir: 0.500 0.500 0.500
N: 0.000 0.000 0.000

DFT (PBE-GGA) results for a geometry-optimized La2Cu12Ni3Ir structure.

Values from the calculation:
The value obtained for the formation energy is 218.0 meV/atom.

Cell: 9.956 9.956 9.956 Å, 34.77 34.77 34.77°
Sites, in units of the cell vectors:
La: 0.146 0.146 0.146
La: 0.854 0.854 0.854
Cu: 0.086 0.086 0.690
Cu: 0.086 0.690 0.086
Cu: 0.141 0.569 0.569
Cu: 0.310 0.914 0.914
Cu: 0.431 0.431 0.859
Cu: 0.431 0.859 0.431
Cu: 0.569 0.141 0.569
Cu: 0.569 0.569 0.141
Cu: 0.690 0.086 0.086
Cu: 0.859 0.431 0.431
Cu: 0.914 0.310 0.914
Cu: 0.914 0.914 0.310
Ni: 0.000 0.500 0.500
Ni: 0.500 0.000 0.500
Ni: 0.500 0.500 0.000
Ir: 0.500 0.500 0.500

Listing energy for the structures above in their given order: -6.20, -4.04, -5.32, -6.83, -6.88, -4.52 eV per atom.